(1)
Material: Te2IrCN
Method: DFT, PBE
State: optimized geometry

## Properties
The magnetic moment comes out at 0.1 μB per cell. The excess energy over the best structure of this formula in the dataset is 334.1 meV/atom. The formation energy (no corrections) comes out at 1.579 eV/atom.

Lattice parameters (Å, degrees): 5.410 5.410 3.628 90.00 90.00 90.00
Space group P4/mmm (No. 123)
Asymmetric unit:
1 Te 0.000 0.500 0.000
2 Ir 0.000 0.000 0.000
3 C 0.500 0.500 0.500
4 N 0.000 0.000 0.500

(2)
Material: Na3IrC
Method: DFT, PBE
State: optimized geometry

## Properties
Its energy of formation from the pure elements is 9.460 eV per formula unit. The magnetic moment comes out at 3.9 μB per cell. The excess energy over the best structure of this formula in the dataset is 374.5 meV/atom.

Lattice parameters (Å, degrees): 5.564 5.564 5.564 90.00 90.00 90.00
Space group Pm-3m (No. 221)
Asymmetric unit:
1 Na 0.000 0.000 0.500
2 Ir 0.000 0.000 0.000
3 C 0.500 0.500 0.500

(3)
Material: NaIrC2
Method: DFT, PBE
State: optimized geometry

## Properties
Its energy of formation from the pure elements is 6.565 eV per formula unit. The magnetic moment comes out at 0.0 μB per cell. The excess energy over the best structure of this formula in the dataset is 779.4 meV/atom.

Lattice parameters (Å, degrees): 5.418 5.418 5.418 90.00 90.00 90.00
Space group Fm-3m (No. 225)
Asymmetric unit:
1 Na 0.000 0.000 0.000
2 Ir 0.000 0.000 0.500
3 C 0.250 0.250 0.250

(4)
Material: NaIr2C
Method: DFT, PBE
State: optimized geometry

## Properties
Its energy of formation from the pure elements is 1.849 eV per formula unit. The magnetic moment comes out at 0.0 μB per cell.

Lattice parameters (Å, degrees): 6.707 6.707 5.176 90.00 90.00 90.00
Space group I-42d (No. 122)
Asymmetric unit:
1 Na 0.000 0.000 0.000
2 Ir 0.130 0.250 0.625
3 C 0.000 0.000 0.500

(5)
Material: Na3IrC
Method: DFT, PBE
State: optimized geometry

## Properties
Its energy of formation from the pure elements is 7.587 eV per formula unit. The magnetic moment comes out at 4.0 μB per cell. The excess energy over the best structure of this formula in the dataset is 0.0 meV/atom.

Lattice parameters (Å, degrees): 4.834 4.834 4.834 90.00 90.00 90.00
Space group Pm-3m (No. 221)
Asymmetric unit:
1 Na 0.000 0.000 0.500
2 Ir 0.500 0.500 0.500
3 C 0.000 0.000 0.000

(6)
Material: NaIrC2
Method: DFT, PBE
State: optimized geometry

## Properties
Its energy of formation from the pure elements is 3.447 eV per formula unit. The magnetic moment comes out at 0.0 μB per cell. The excess energy over the best structure of this formula in the dataset is 0.0 meV/atom.

Lattice parameters (Å, degrees): 5.390 5.390 9.643 90.00 90.00 90.00
Space group I-42d (No. 122)
Asymmetric unit:
1 Na 0.000 0.000 0.000
2 Ir 0.000 0.000 0.500
3 C 0.108 0.250 0.625

(7)
Material: NaIrC2O8
Method: DFT, PBE
State: optimized geometry

## Properties
The magnetic moment comes out at 0.0 μB per cell. The formation energy (no corrections) comes out at -0.838 eV/atom.

Lattice parameters (Å, degrees): 7.617 4.953 7.217 90.00 91.02 90.00
Space group C2/m (No. 12)
Asymmetric unit:
1 Na 0.000 0.000 0.000
2 Ir 0.000 0.000 0.500
3 C 0.145 0.500 0.296
4 O 0.027 0.270 0.306
5 O 0.223 0.500 0.140
6 O 0.249 0.500 0.462

(8)
Material: NaIrC2O6
Method: DFT, PBE
State: optimized geometry

## Properties
The magnetic moment comes out at 0.0 μB per cell. The formation energy (no corrections) comes out at -1.237 eV/atom.

Lattice parameters (Å, degrees): 4.8049 4.8049 16.3500 90.00 90.00 120.00
Space group R-3 (No. 148, hexagonal axes)
Asymmetric unit:
1 Na 0.0000 0.0000 0.0000
2 Ir 0.0000 0.0000 0.5000
3 C 0.0000 0.0000 0.2361
4 O 0.0178 0.2788 0.2381

(9)
Material: NaPIr2C
Method: DFT, PBE
State: optimized geometry

## Properties
Its energy of formation from the pure elements is 14.316 eV per formula unit. The magnetic moment comes out at 0.0 μB per cell.

Lattice parameters (Å, degrees): 4.598 4.598 3.847 90.00 90.00 90.00
Space group P4/mmm (No. 123)
Asymmetric unit:
1 Na 0.000 0.000 0.000
2 P 0.500 0.500 0.500
3 Ir 0.000 0.500 0.000
4 C 0.000 0.000 0.500

(10)
Material: NaSr2IrC
Method: DFT, PBE
State: optimized geometry

## Properties
Its energy of formation from the pure elements is 5.966 eV per formula unit. The magnetic moment comes out at 2.0 μB per cell. The excess energy over the best structure of this formula in the dataset is 1263.9 meV/atom.

Lattice parameters (Å, degrees): 5.668 5.668 5.280 90.00 90.00 90.00
Space group P4/mmm (No. 123)
Asymmetric unit:
1 Na 0.000 0.000 0.000
2 Sr 0.000 0.500 0.500
3 Ir 0.000 0.000 0.500
4 C 0.500 0.500 0.000

(11)
Material: NaSr2IrC
Method: DFT, PBE
State: optimized geometry

## Properties
Its energy of formation from the pure elements is -0.353 eV per formula unit. The magnetic moment comes out at 0.0 μB per cell. The excess energy over the best structure of this formula in the dataset is 0.0 meV/atom.

Lattice parameters (Å, degrees): 5.635 5.635 3.936 90.00 90.00 90.00
Space group P4/mmm (No. 123)
Asymmetric unit:
1 Na 0.000 0.000 0.000
2 Sr 0.000 0.500 0.500
3 Ir 0.500 0.500 0.000
4 C 0.500 0.500 0.500

(12)
Material: NaSrIrC2
Method: DFT, PBE
State: optimized geometry

## Properties
Its energy of formation from the pure elements is 13.814 eV per formula unit. The magnetic moment comes out at 0.0 μB per cell.

Lattice parameters (Å, degrees): 4.341 4.341 4.853 90.00 90.00 90.00
Space group P4/mmm (No. 123)
Asymmetric unit:
1 Na 0.000 0.000 0.000
2 Sr 0.000 0.000 0.500
3 Ir 0.500 0.500 0.500
4 C 0.000 0.500 0.000

(13)
Material: NaZnIrC2
Method: DFT, PBE
State: optimized geometry

## Properties
Its energy of formation from the pure elements is 5.746 eV per formula unit. The magnetic moment comes out at 0.0 μB per cell.

Lattice parameters (Å, degrees): 3.927 3.927 5.826 90.00 90.00 90.00
Space group P4/mmm (No. 123)
Asymmetric unit:
1 Na 0.000 0.000 0.000
2 Zn 0.500 0.500 0.000
3 Ir 0.000 0.000 0.500
4 C 0.000 0.500 0.500

(14)
Material: Nb3IrC
Method: DFT, PBE
State: optimized geometry

## Properties
Its energy of formation from the pure elements is -1.386 eV per formula unit. The magnetic moment comes out at 0.0 μB per cell. The excess energy over the best structure of this formula in the dataset is 145.7 meV/atom.

Lattice parameters (Å, degrees): 4.264 4.264 4.264 90.00 90.00 90.00
Space group Pm-3m (No. 221)
Asymmetric unit:
1 Nb 0.000 0.000 0.500
2 Ir 0.500 0.500 0.500
3 C 0.000 0.000 0.000

(15)
Material: Nb7Ir2C2
Method: DFT, PBE
State: optimized geometry

## Properties
Its energy of formation from the pure elements is -1.994 eV per formula unit. The magnetic moment comes out at 0.0 μB per cell.

Lattice parameters (Å, degrees): 2.984 14.684 7.715 90.00 90.00 90.00
Space group Imm2 (No. 44)
Asymmetric unit:
1 Nb 0.000 0.000 0.000
2 Nb 0.000 0.142 0.573
3 Nb 0.000 0.318 0.388
4 Nb 0.000 0.342 0.740
5 Ir 0.000 0.000 0.337
6 Ir 0.000 0.500 0.196
7 C 0.000 0.245 0.097

(16)
Material: NbIrC2
Method: DFT, PBE
State: optimized geometry

## Properties
Its energy of formation from the pure elements is 1.644 eV per formula unit. The magnetic moment comes out at 0.0 μB per cell. The excess energy over the best structure of this formula in the dataset is 0.0 meV/atom.

Lattice parameters (Å, degrees): 4.654 4.654 9.862 90.00 90.00 90.00
Space group I-42d (No. 122)
Asymmetric unit:
1 Nb 0.000 0.000 0.000
2 Ir 0.000 0.000 0.500
3 C 0.228 0.250 0.625

(17)
Material: Nb3IrC
Method: DFT, PBE
State: optimized geometry

## Properties
Its energy of formation from the pure elements is -2.115 eV per formula unit. The magnetic moment comes out at 0.0 μB per cell. The excess energy over the best structure of this formula in the dataset is 0.0 meV/atom.

Lattice parameters (Å, degrees): 7.433 5.293 7.897 90.00 102.17 90.00
Space group P2_1/c (No. 14)
Asymmetric unit:
1 Nb 0.075 0.076 0.185
2 Nb 0.205 0.591 0.067
3 Nb 0.341 0.118 0.923
4 Ir 0.434 0.594 0.807
5 C 0.068 0.245 0.438

(18)
Material: NbIrC2
Method: DFT, PBE
State: optimized geometry

## Properties
Its energy of formation from the pure elements is 3.919 eV per formula unit. The magnetic moment comes out at 0.0 μB per cell. The excess energy over the best structure of this formula in the dataset is 568.7 meV/atom.

Lattice parameters (Å, degrees): 5.531 5.531 5.531 90.00 90.00 90.00
Space group Fm-3m (No. 225)
Asymmetric unit:
1 Nb 0.000 0.000 0.000
2 Ir 0.000 0.000 0.500
3 C 0.250 0.250 0.250

(19)
Material: Nb3IrC
Method: DFT, PBE
State: optimized geometry

## Properties
Its energy of formation from the pure elements is 10.791 eV per formula unit. The magnetic moment comes out at 0.0 μB per cell. The excess energy over the best structure of this formula in the dataset is 2581.2 meV/atom.

Lattice parameters (Å, degrees): 4.839 4.839 4.839 90.00 90.00 90.00
Space group Pm-3m (No. 221)
Asymmetric unit:
1 Nb 0.000 0.000 0.500
2 Ir 0.000 0.000 0.000
3 C 0.500 0.500 0.500

(20)
Material: NbIrRhC2
Method: DFT, PBE
State: optimized geometry

## Properties
Its energy of formation from the pure elements is 8.565 eV per formula unit. The magnetic moment comes out at 0.0 μB per cell.

Lattice parameters (Å, degrees): 3.793 3.793 5.612 90.00 90.00 90.00
Space group P4/mmm (No. 123)
Asymmetric unit:
1 Nb 0.000 0.000 0.000
2 Ir 0.500 0.500 0.000
3 Rh 0.000 0.000 0.500
4 C 0.000 0.500 0.500